[1]
Compound: NaZr2Ta2
Source: Alexandria
Functional: GGA-PBE
Structure: relaxed

a b c (Å): 8.8192 8.8192 2.9700
angles (deg): 90.00 90.00 90.00
Positions (direct):
Zr  0.6917  0.8083  0.5000
Na  0.5000  0.5000  0.0000
Ta  0.6064  0.1064  0.0000
Zr  0.3083  0.1917  0.5000
Zr  0.8083  0.3083  0.5000
Ta  0.3936  0.8936  0.0000
Na  0.0000  0.0000  0.0000
Ta  0.8936  0.6064  0.0000
Ta  0.1064  0.3936  0.0000
Zr  0.1917  0.6917  0.5000

Properties
- calculated formation energy (eV/atom) = 0.52
- E (eV per atom) = -7.9031
- Fermi-level density of states (states/eV per cell) = 14.0

[2]
Compound: Pr2CoPb
Source: Alexandria
Functional: GGA-PBE
Structure: relaxed

a b c (Å): 3.8517 3.8517 10.1684
angles (deg): 79.08 79.08 60.00
Positions (direct):
Pr  0.8872  0.8872  0.3384
Pr  0.1128  0.1128  0.6616
Co  0.5000  0.5000  0.5000
Pb  0.0000  0.0000  0.0000

Properties
- calculated formation energy (eV/atom) = 0.05
- E (eV per atom) = -5.0401
- Fermi-level density of states (states/eV per cell) = 4.1

[3]
Compound: MgSe5
Source: Alexandria
Functional: GGA-PBE
Structure: relaxed

a b c (Å): 10.2319 10.2319 4.2111
angles (deg): 90.00 90.00 156.67
Positions (direct):
Se  0.2794  0.7206  0.5000
Se  0.7206  0.2794  0.5000
Se  0.0888  0.9112  0.0000
Se  0.0000  0.0000  0.5000
Se  0.9112  0.0888  0.0000
Mg  0.5000  0.5000  0.0000

Properties
- formation energy (no corrections) (eV per atom) = -0.149
- E (eV per atom) = -3.3184
- Fermi-level density of states (states/eV per cell) = 1.7

[4]
Compound: Zr2TiRe2
Source: Alexandria
Functional: GGA-PBE
Structure: relaxed

a b c (Å): 6.6666 6.6666 4.3483
angles (deg): 90.00 90.00 90.00
Positions (direct):
Re  0.8672  0.6328  0.0000
Zr  0.3219  0.1781  0.5000
Re  0.3672  0.8672  0.0000
Ti  0.5000  0.5000  0.0000
Zr  0.1781  0.6781  0.5000
Zr  0.6781  0.8219  0.5000
Re  0.6328  0.1328  0.0000
Ti  0.0000  0.0000  0.0000
Zr  0.8219  0.3219  0.5000
Re  0.1328  0.3672  0.0000

Properties
- calculated formation energy (eV/atom) = 0.02
- E (eV per atom) = -9.9571
- Fermi-level density of states (states/eV per cell) = 13.0

[5]
Compound: Rb3RhBr6
Source: Alexandria
Functional: GGA-PBE
Structure: relaxed

a b c (Å): 7.7130 7.7130 8.2490
angles (deg): 111.70 111.70 102.07
Site moments in Bohr magnetons follow the coordinates.
Positions (direct):
Rb  0.5000  0.5000  0.0000  0.00
Br  0.7877  0.2123  0.0000  0.00
Rh  0.0000  0.0000  0.0000  0.08
Br  0.0514  0.0514  0.7347  0.00
Rb  0.7500  0.2500  0.5000  0.00
Br  0.9486  0.9486  0.2653  0.00
Br  0.2123  0.7877  0.0000  0.00
Br  0.3167  0.3167  0.2653  0.00
Br  0.6833  0.6833  0.7347  0.00
Rb  0.2500  0.7500  0.5000  0.00

Properties
- formation energy (no corrections) (eV per atom) = -1.156
- E (eV per atom) = -3.1851

[6]
Compound: KAg2Se2O6
Source: Alexandria
Functional: GGA-PBE
Structure: relaxed

a b c (Å): 5.6984 7.0759 6.3088
angles (deg): 89.70 63.95 62.31
Positions (direct):
O  0.9303  0.1362  0.3697
O  0.4060  0.6056  0.8319
Se  0.1096  0.6455  0.7775
Ag  0.7229  0.2309  0.7936
Ag  0.2771  0.7691  0.2064
O  0.2024  0.2275  0.9440
Se  0.8904  0.3545  0.2225
K  0.5000  0.0000  0.5000
O  0.0697  0.8638  0.6303
O  0.7976  0.7725  0.0560
O  0.5940  0.3944  0.1681

Properties
- formation energy (no corrections) (eV per atom) = -0.756
- E (eV per atom) = -4.7127
- Fermi-level density of states (states/eV per cell) = 4.2

Look up the E of the fifth one.
-3.1851 eV per atom